1.
DFT (PBE) results for a relaxed structure of TiMn3W.

## Properties
Calculated volume = 18.83 Å³ per atom
Energy of formation = 1285.7 meV per atom
Raw total energy = -0.6163 Ry/atom
SG = No. 221
Theoretical density = 6993 kg/m3
E above lowest polymorph = 0 meV per atom

Unit cell a=4.549 b=4.549 c=4.549 alpha=90.00 beta=90.00 gamma=90.00
Fractional coordinates of all 5 atoms:
Mn: 0.500 0.000 0.000
Mn: 0.000 0.000 0.500
Mn: 0.000 0.500 0.000
W: 0.000 0.000 0.000
Ti: 0.500 0.500 0.500

=====

2.
DFT (PBE) results for a relaxed structure of Ti3MnW.

## Properties
Calculated volume = 17.02 Å³ per atom
Energy of formation = 686.7 meV per atom
Raw total energy = -0.6229 Ry/atom
SG = No. 221
Theoretical density = 7459 kg/m3
E above lowest polymorph = 0 meV per atom

Unit cell a=4.399 b=4.399 c=4.399 alpha=90.00 beta=90.00 gamma=90.00
Fractional coordinates of all 5 atoms:
Ti: 0.000 0.000 0.500
Ti: 0.500 0.000 0.000
Ti: 0.000 0.500 0.000
W: 0.500 0.500 0.500
Mn: 0.000 0.000 0.000

=====

3.
DFT (PBE) results for a relaxed structure of TiMnW2.

## Properties
Calculated volume = 14.71 Å³ per atom
Energy of formation = 24.1 meV per atom
Raw total energy = -0.7878 Ry/atom
SG = No. 123
Theoretical density = 13277 kg/m3
E above lowest polymorph = 0 meV per atom

Unit cell a=3.063 b=3.063 c=6.274 alpha=90.00 beta=90.00 gamma=90.00
Fractional coordinates of all 4 atoms:
W: 0.000 0.000 0.236
W: 0.000 0.000 0.764
Mn: 0.500 0.500 0.000
Ti: 0.500 0.500 0.500